Here is a geometry-optimized Pu2TiNbN5 structure from the Alexandria database. Energies are from GGA-PBE.

The density of states at the Fermi level comes out at 1.30 states/eV per atom. The total magnetic moment is 37.5 μB/cell. As for the raw formation energy: -28.088 kcal/mol of atoms. The final energy comes out at -11.02 eV per atom.

Cell: 3.2897 13.2189 10.2054 Å, 90.00 90.00 90.00°
With the nearest neighbours (Å) after each atom.
Space group Cmc2_1 (No. 36)
Inequivalent atoms, fractional coordinates:
Pu  0.0000  0.1117  0.0000 [4 per cell]  3 N 2.28-2.44
Pu  0.0000  0.1407  0.5866 [4 per cell]  6 N 2.38-2.58
Ti  0.0000  0.4783  0.7703 [4 per cell]  4 N 1.93-2.03
Nb  0.0000  0.2178  0.3057 [4 per cell]  6 N 2.02-2.23
N  0.0000  0.0547  0.3593 [4 per cell]  2 Ti 1.93
N  0.0000  0.2804  0.9526 [4 per cell]  2 Nb 2.23, 3 Pu 2.28-2.38
N  0.0000  0.3155  0.6716 [4 per cell]  2 Nb 2.18, 1 Ti 2.38
N  0.0000  0.3705  0.3026 [4 per cell]  1 Nb 2.02, 1 Ti 2.03
N  0.0000  0.4917  0.0835 [4 per cell]  1 Ti 1.95